The following is a DFT calculation (GGA-PBE) of LiAg2Cl after structural relaxation.

a = 5.641 Å, b = 3.250 Å, c = 8.509 Å
α = 90.00°, β = 90.15°, γ = 90.00°
Sites, in units of the cell vectors:
Li: 0.000 0.000 0.000
Li: 0.500 0.500 0.000
Ag: 0.169 0.500 0.707
Ag: 0.336 0.000 0.451
Ag: 0.669 0.000 0.707
Ag: 0.836 0.500 0.451
Cl: 0.333 0.000 0.144
Cl: 0.833 0.500 0.144

Output
ΔE to the lowest computed polymorph (meV per atom): 87.9
Magnetic moment (μB/cell): 0.00
E_form (uncorrected) (kJ/mol of formula units): -186



The following is a DFT calculation (GGA-PBE) of HoPuZr2P4 after structural relaxation.

a = 6.649 Å, b = 3.848 Å, c = 6.711 Å
α = 90.00°, β = 109.28°, γ = 90.00°
Sites, in units of the cell vectors:
Ho: 0.000 0.000 0.000
Pu: 0.500 0.500 0.000
Zr: 0.000 0.500 0.500
Zr: 0.500 0.000 0.500
P: 0.247 0.000 0.738
P: 0.255 0.500 0.263
P: 0.745 0.500 0.737
P: 0.753 0.000 0.262

Output
Energy relative to the elements (eV per atom): -1.409
Magnetic moment (μB/cell): 5.26